[1]
# Pr2Ho5Ni4 (PBE, relaxed)
# V: 268.9 Å³ per cell
# space-group type: No. 12
# spin magnetization: 0.00 μB/f.u.
# density of states at the Fermi level: 11.7 states/eV/f.u.
# formation energy from the elements: -1.348 eV per formula unit
data_Pr2Ho5Ni4
_cell_length_a 9.478
_cell_length_b 9.478
_cell_length_c 7.977
_cell_angle_alpha 96.25
_cell_angle_beta 96.25
_cell_angle_gamma 22.19
_space_group_name_H-M_alt 'P 1'
_space_group_IT_number 1
loop_
_space_group_symop_operation_xyz
'x,y,z'
loop_
_atom_site_label
_atom_site_type_symbol
_atom_site_fract_x
_atom_site_fract_y
_atom_site_fract_z
Pr1 Pr 0.086 0.086 0.419
Pr2 Pr 0.914 0.914 0.581
Ho1 Ho 0.164 0.164 0.005
Ho2 Ho 0.246 0.246 0.670
Ho3 Ho 0.500 0.500 0.000
Ho4 Ho 0.754 0.754 0.330
Ho5 Ho 0.836 0.836 0.995
Ni1 Ni 0.050 0.050 0.770
Ni2 Ni 0.363 0.363 0.271
Ni3 Ni 0.637 0.637 0.729
Ni4 Ni 0.950 0.950 0.230

***

[2]
# Sm3Er2Tm3 (PBE, relaxed)
# V: 518.2 Å³ per cell
# space-group type: No. 63
# spin magnetization: 0.00 μB/f.u.
# density of states at the Fermi level: 14.5 states/eV/f.u.
# formation energy from the elements: 1.169 eV per formula unit
# energy relative to the lowest polymorph listed for this composition: 54 meV per atom
data_Sm3Er2Tm3
_cell_length_a 6.479
_cell_length_b 6.479
_cell_length_c 16.111
_cell_angle_alpha 90.00
_cell_angle_beta 90.00
_cell_angle_gamma 129.98
_space_group_name_H-M_alt 'P 1'
_space_group_IT_number 1
loop_
_space_group_symop_operation_xyz
'x,y,z'
loop_
_atom_site_label
_atom_site_type_symbol
_atom_site_fract_x
_atom_site_fract_y
_atom_site_fract_z
Sm1 Sm 0.040 0.960 0.750
Sm2 Sm 0.115 0.885 0.052
Sm3 Sm 0.115 0.885 0.448
Sm4 Sm 0.885 0.115 0.552
Sm5 Sm 0.885 0.115 0.948
Sm6 Sm 0.960 0.040 0.250
Er1 Er 0.276 0.724 0.632
Er2 Er 0.276 0.724 0.868
Er3 Er 0.724 0.276 0.132
Er4 Er 0.724 0.276 0.368
Tm1 Tm 0.240 0.760 0.250
Tm2 Tm 0.420 0.580 0.088
Tm3 Tm 0.420 0.580 0.412
Tm4 Tm 0.580 0.420 0.588
Tm5 Tm 0.580 0.420 0.912
Tm6 Tm 0.760 0.240 0.750

***

[3]
# Ho2Tm3Hg2 (PBE, relaxed)
# V: 190.2 Å³ per cell
# space-group type: No. 166
# spin magnetization: 0.00 μB/f.u.
# density of states at the Fermi level: 7.7 states/eV/f.u.
# formation energy from the elements: -1.643 eV per formula unit
data_Ho2Tm3Hg2
_cell_length_a 8.417
_cell_length_b 8.417
_cell_length_c 8.417
_cell_angle_alpha 36.64
_cell_angle_beta 36.64
_cell_angle_gamma 36.64
_space_group_name_H-M_alt 'P 1'
_space_group_IT_number 1
loop_
_space_group_symop_operation_xyz
'x,y,z'
loop_
_atom_site_label
_atom_site_type_symbol
_atom_site_fract_x
_atom_site_fract_y
_atom_site_fract_z
Ho1 Ho 0.075 0.075 0.075
Ho2 Ho 0.925 0.925 0.925
Tm1 Tm 0.343 0.343 0.343
Tm2 Tm 0.500 0.500 0.500
Tm3 Tm 0.657 0.657 0.657
Hg1 Hg 0.214 0.214 0.214
Hg2 Hg 0.786 0.786 0.786